# SrTaV2Au | Alexandria via LeMat-Bulk | GGA-PBE | relaxed
data_SrTaV2Au
_space_group_name_H-M_alt 'P 4/m m m'
_space_group_IT_number 123
_space_group_name_Hall '-P 4 2'
_cell_length_a 4.4700
_cell_length_b 4.4700
_cell_length_c 4.9054
_cell_angle_alpha 90.00
_cell_angle_beta 90.00
_cell_angle_gamma 90.00
loop_
_atom_site_label
_atom_site_fract_x
_atom_site_fract_y
_atom_site_fract_z
Sr1 0.0000 0.0000 0.0000
Ta1 0.0000 0.0000 0.5000
V1 0.0000 0.5000 0.0000
Au1 0.5000 0.5000 0.5000
# Theoretical density   9.61 Mg/m³
# Energy above the most stable polymorph in this dataset   151 meV/atom
# Formation energy   12.50 eV per formula unit